# 1
TcIr2PtBr: optimized geometry, PBE-GGA.

Geometry as POSCAR:
```
TcIr2PtBr
1.0
-3.140 -3.598 -0.775
2.156 -0.905 -4.534
3.060 -3.118 2.077
Tc Pt Br Ir
1 1 1 2
Direct
0.000 0.500 0.000
0.000 0.000 0.000
0.500 0.500 0.500
0.000 0.000 0.500
0.500 0.000 0.000
```

Results
Total magnetic moment in μB/atom: 1.178
Density of states at the Fermi level in states/eV per atom: 1.79
Raw total energy in eV per atom: -5.19
Formation energy (no corrections) in meV per atom: 1966


# 2
TeIr2PtBr: optimized geometry, PBE-GGA.

Geometry as POSCAR:
```
TeIr2PtBr
1.0
-4.168 1.811 -0.006
-1.781 -4.089 3.253
1.063 2.458 3.671
Pt Br Te Ir
1 1 1 2
Direct
0.500 0.500 0.500
0.000 0.000 0.000
0.000 0.500 0.000
0.500 0.000 0.000
0.000 0.000 0.500
```

Results
Total magnetic moment in μB/atom: 0.063
Density of states at the Fermi level in states/eV per atom: 1.34
Raw total energy in eV per atom: -3.79
Formation energy (no corrections) in meV per atom: 1922


# 3
Pu2IrBr: optimized geometry, PBE-GGA.

Geometry as POSCAR:
```
Pu2IrBr
1.0
-0.583 2.322 3.226
2.054 -0.704 3.380
6.024 5.242 -0.182
Ir Br Pu
1 1 2
Direct
0.000 0.000 0.000
0.500 0.500 0.500
0.267 0.267 0.200
0.733 0.733 0.800
```

Results
Total magnetic moment in μB/atom: 2.650
Density of states at the Fermi level in states/eV per atom: 3.46
Raw total energy in eV per atom: -10.54
Relative energy among the computed polymorphs in meV per atom: 0
Formation energy (no corrections) in meV per atom: -744


# 4
Pu2IrBr: optimized geometry, PBE-GGA.

Geometry as POSCAR:
```
Pu2IrBr
1.0
3.434 0.000 0.000
0.000 3.434 0.000
0.000 0.000 7.941
Br Pu Ir
1 2 1
Direct
0.500 0.500 0.500
0.000 0.000 0.789
0.000 0.000 0.211
0.500 0.500 0.000
```

Results
Total magnetic moment in μB/atom: 2.788
Density of states at the Fermi level in states/eV per atom: 3.56
Raw total energy in eV per atom: -10.51
Relative energy among the computed polymorphs in meV per atom: 38
Formation energy (no corrections) in meV per atom: -706


Q: density of states at the Fermi level of number 1 (TcIr2PtBr)?
A: 1.79 states/eV per atom